Density functional theory data (PBE) for a relaxed structure of Mn2SbS5.

abc: 4.8622 12.0744 12.1058
angles: 90.00 90.00 90.00
Last column: nearest neighbours and their distance in Å.
Space group Cmcm (No. 63)
Symmetry-distinct sites (fractional):
1 Mn 0.0000 0.1467 0.0561  6 S 2.32-2.48
2 Sb 0.0000 0.1991 0.7500  6 S 2.56-2.81
3 S 0.0000 0.0437 0.6056  2 Mn 2.32-2.38, 1 Sb 2.56
4 S 0.0000 0.2092 0.2500  2 Mn 2.47, 2 Sb 2.67
5 S 0.0000 0.3146 0.5482  3 Mn 2.39-2.48

Results
The calculation puts the volume at 22.2 Å³/atom. The value obtained for the raw total energy is -183.13 eV per cell. The value obtained for the density of states at the Fermi level is 8.95 states/eV/cell. As for the size of the total moment: 0.88 μB per atom.


Density functional theory data (PBE) for a relaxed structure of Mn2SbS6.

abc: 5.6863 5.6863 11.0033
angles: 90.00 90.00 90.00
Last column: nearest neighbours and their distance in Å.
Space group P4_2/mnm (No. 136)
Symmetry-distinct sites (fractional):
1 Mn 0.0000 0.0000 0.1710  6 S 2.29-2.41
2 Sb 0.0000 0.0000 0.5000  6 S 2.56-2.65
3 S 0.1710 0.1710 0.0000  2 Mn 2.33
4 S 0.2008 0.2008 0.3192  2 Mn 2.29-2.41, 1 Sb 2.56

Results
The calculation puts the volume at 19.8 Å³/atom. The value obtained for the raw total energy is -98.55 eV per cell. The value obtained for the density of states at the Fermi level is 8.81 states/eV/cell. As for the size of the total moment: 0.64 μB per atom. Its energy above the most stable polymorph in this dataset is 186 meV per atom.


Density functional theory data (PBE) for a relaxed structure of MnSbS2.

abc: 4.0840 4.0840 22.2448
angles: 90.00 90.00 120.00
Last column: nearest neighbours and their distance in Å.
Space group R-3m (No. 166, hexagonal axes)
Symmetry-distinct sites (fractional):
1 Mn 0.0000 0.0000 0.0000  2 S 2.27
2 Sb 0.0000 0.0000 0.5000  6 S 2.76
3 S 0.0000 0.0000 0.1019  1 Mn 2.27

Results
The calculation puts the volume at 26.8 Å³/atom. The value obtained for the raw total energy is -63.78 eV per cell. The value obtained for the density of states at the Fermi level is 4.33 states/eV/cell. As for the size of the total moment: 1.04 μB per atom.